The following is a GGA-PBE calculation of crystalline BiPb2Au at its relaxed geometry, from Alexandria via LeMat-Bulk.

```
4
Lattice="-3.905 1.674 -0.844 -2.926 -2.325 -2.190 -4.887 -3.039 5.471" Properties=species:S:1:pos:R:3 pbc="T T T"
Bi -5.846 -1.831 1.185
Pb -4.331 -2.438 4.091
Pb -2.844 -0.831 0.398
Au -4.556 -0.436 -2.019
```

Computed properties:
The value obtained for the calculated formation energy is 32 meV/atom.